## Cr2BiWO8 (GGA+U)

Data for a relaxed Cr2BiWO8 crystal.

Properties
SG: No. 65
Raw total energy: -7.17 eV per atom

Lattice parameters (Å, degrees): 4.7128 4.7112 6.5133 90.00 90.00 90.72
Closest atoms and distances in Å follow each position.
Sites, in units of the cell vectors:
O 0.2991 0.2987 0.0000  1 W 1.98, 2 Cr 2.06
O 0.1990 0.8005 0.7827  1 W 1.95, 1 Cr 2.02
O 0.7009 0.7013 0.0000  1 W 1.98, 2 Cr 2.06
Bi 0.0000 0.0000 0.5000  6 O 2.17-2.28
W 0.0000 0.0000 0.0000  6 O 1.95-1.98
O 0.8010 0.1995 0.2173  1 W 1.95, 1 Cr 2.02
O 0.6719 0.6722 0.5000  2 Cr 2.04, 1 Bi 2.17, 1 O 2.28
O 0.3281 0.3278 0.5000  2 Cr 2.04, 1 Bi 2.17, 1 O 2.28
O 0.8010 0.1995 0.7827  1 W 1.95, 1 Cr 2.02
O 0.1990 0.8005 0.2173  1 W 1.95, 1 Cr 2.02
Cr 0.5000 0.5000 0.7596  6 O 2.02-2.06
Cr 0.5000 0.5000 0.2404  6 O 2.02-2.06